## SrAg3Au (PBE)

Data for crystalline SrAg3Au at its relaxed geometry.

Structure (CIF):
```
data_SrAg3Au
_chemical_formula_sum 'Sr2 Ag6 Au2'
_cell_length_a 6.088
_cell_length_b 6.063
_cell_length_c 7.091
_cell_angle_alpha 90.00
_cell_angle_beta 115.35
_cell_angle_gamma 90.00
_space_group_name_H-M_alt 'P 1 21/m 1'
_space_group_IT_number 11
loop_
_space_group_symop_operation_xyz
'x,y,z'
'-x,-y,-z'
'-x,y+1/2,-z'
'x,-y+1/2,z'
loop_
_atom_site_label
_atom_site_fract_x
_atom_site_fract_y
_atom_site_fract_z
Sr1 0.246 0.250 0.495
Ag1 0.139 0.750 0.277
Ag2 0.256 0.000 0.999
Au1 0.352 0.750 0.701
```

## Properties
Polymorph energy (0 for the lowest one) = 0.0021 eV per atom
Formation energy = -0.26 eV per atom
V = 23.66 Å³/atom

=====

## TaTiPbC2 (PBE)

Data for crystalline TaTiPbC2 at its relaxed geometry.

Structure (CIF):
```
data_TaTiPbC2
_chemical_formula_sum 'Ta1 Ti1 Pb1 C2'
_cell_length_a 4.358
_cell_length_b 4.358
_cell_length_c 5.193
_cell_angle_alpha 90.00
_cell_angle_beta 90.00
_cell_angle_gamma 90.00
_space_group_name_H-M_alt 'P 4/m m m'
_space_group_IT_number 123
_space_group_name_Hall '-P 4 2'
loop_
_atom_site_label
_atom_site_fract_x
_atom_site_fract_y
_atom_site_fract_z
Ta1 0.000 0.000 0.000
Ti1 0.500 0.500 0.000
Pb1 0.500 0.500 0.500
C1 0.000 0.500 0.500
```

## Properties
Formation energy = 3.06 eV per atom
V = 19.72 Å³/atom

=====

## PmPr8Sm4 (PBE)

Data for crystalline PmPr8Sm4 at its relaxed geometry.

Structure (CIF):
```
data_PmPr8Sm4
_chemical_formula_sum 'Pm3 Pr24 Sm12'
_cell_length_a 11.9578
_cell_length_b 11.9578
_cell_length_c 11.8210
_cell_angle_alpha 90.00
_cell_angle_beta 90.00
_cell_angle_gamma 120.00
_space_group_name_H-M_alt 'R -3 m'
_space_group_IT_number 166
_space_group_name_Hall '-R 3 2"'
loop_
_atom_site_label
_atom_site_fract_x
_atom_site_fract_y
_atom_site_fract_z
Pm1 0.0000 0.0000 0.0000
Pr1 0.0000 0.0000 0.2567
Pr2 0.0020 0.5010 0.1678
Sm1 0.0000 0.0000 0.5000
Sm2 0.0000 0.5000 0.5000
```

## Properties
Formation energy = 0.39 eV per atom
V = 37.53 Å³/atom

=====

## AlAu2N (PBE)

Data for crystalline AlAu2N at its relaxed geometry.

Structure (CIF):
```
data_AlAu2N
_chemical_formula_sum 'Al4 Au8 N4'
_cell_length_a 5.000
_cell_length_b 5.000
_cell_length_c 12.205
_cell_angle_alpha 90.00
_cell_angle_beta 90.00
_cell_angle_gamma 90.00
_space_group_name_H-M_alt 'I -4 2 d'
_space_group_IT_number 122
_space_group_name_Hall 'I -4 2bw'
loop_
_atom_site_label
_atom_site_fract_x
_atom_site_fract_y
_atom_site_fract_z
Al1 0.000 0.000 0.000
Au1 0.155 0.250 0.625
N1 0.000 0.000 0.500
```

## Properties
Energy relative to the elements, uncorrected = 0.6269 eV/atom
Polymorph energy (0 for the lowest one) = 0.0000 eV per atom
V = 19.07 Å³/atom

=====

## NbReRu2 (PBE)

Data for crystalline NbReRu2 at its relaxed geometry.

Structure (CIF):
```
data_NbReRu2
_chemical_formula_sum 'Nb4 Re4 Ru8'
_cell_length_a 3.885
_cell_length_b 3.885
_cell_length_c 17.740
_cell_angle_alpha 90.00
_cell_angle_beta 90.00
_cell_angle_gamma 90.00
_space_group_name_H-M_alt 'I -4 2 d'
_space_group_IT_number 122
_space_group_name_Hall 'I -4 2bw'
loop_
_atom_site_label
_atom_site_fract_x
_atom_site_fract_y
_atom_site_fract_z
Nb1 0.000 0.000 0.000
Re1 0.000 0.000 0.500
Ru1 0.232 0.250 0.625
```

## Properties
Polymorph energy (0 for the lowest one) = 0.6755 eV per atom
Formation energy = 0.62 eV per atom
V = 16.73 Å³/atom

=====

## ZnCuAu2 (PBE)

Data for crystalline ZnCuAu2 at its relaxed geometry.

Structure (CIF):
```
data_ZnCuAu2
_chemical_formula_sum 'Zn1 Cu1 Au2'
_cell_length_a 3.001
_cell_length_b 3.561
_cell_length_c 5.860
_cell_angle_alpha 90.00
_cell_angle_beta 90.00
_cell_angle_gamma 90.00
_space_group_name_H-M_alt 'P m m m'
_space_group_IT_number 47
loop_
_space_group_symop_operation_xyz
'x,y,z'
'-x,-y,-z'
'-x,-y,z'
'x,y,-z'
'x,-y,-z'
'-x,y,z'
'-x,y,-z'
'x,-y,z'
loop_
_atom_site_label
_atom_site_fract_x
_atom_site_fract_y
_atom_site_fract_z
Zn1 0.000 0.000 0.000
Cu1 0.000 0.000 0.500
Au1 0.500 0.500 0.253
```

## Properties
Formation energy = -0.13 eV per atom
V = 15.66 Å³/atom

=====

## Zr3ZnPb (PBE)

Data for crystalline Zr3ZnPb at its relaxed geometry.

Structure (CIF):
```
data_Zr3ZnPb
_chemical_formula_sum 'Zr3 Zn1 Pb1'
_cell_length_a 5.373
_cell_length_b 5.373
_cell_length_c 5.373
_cell_angle_alpha 90.00
_cell_angle_beta 90.00
_cell_angle_gamma 90.00
_space_group_name_H-M_alt 'P m -3 m'
_space_group_IT_number 221
_space_group_name_Hall '-P 4 2 3'
loop_
_atom_site_label
_atom_site_fract_x
_atom_site_fract_y
_atom_site_fract_z
Zr1 0.000 0.000 0.500
Zn1 0.500 0.500 0.500
Pb1 0.000 0.000 0.000
```

## Properties
Polymorph energy (0 for the lowest one) = 0.8683 eV per atom
Formation energy = 1.18 eV per atom
V = 31.03 Å³/atom

=====

## V2GeCl6 (PBE)

Data for crystalline V2GeCl6 at its relaxed geometry.

Structure (CIF):
```
data_V2GeCl6
_chemical_formula_sum 'V4 Ge2 Cl12'
_cell_length_a 13.757
_cell_length_b 3.728
_cell_length_c 9.577
_cell_angle_alpha 90.00
_cell_angle_beta 109.39
_cell_angle_gamma 90.00
_space_group_name_H-M_alt 'C 1 2/m 1'
_space_group_IT_number 12
loop_
_space_group_symop_operation_xyz
'x,y,z'
'-x,-y,-z'
'-x,y,-z'
'x,-y,z'
'x+1/2,y+1/2,z'
'-x+1/2,-y+1/2,-z'
'-x+1/2,y+1/2,-z'
'x+1/2,-y+1/2,z'
loop_
_atom_site_label
_atom_site_fract_x
_atom_site_fract_y
_atom_site_fract_z
V1 0.169 0.000 0.338
Ge1 0.000 0.500 0.000
Cl1 0.041 0.500 0.296
Cl2 0.148 0.000 0.069
Cl3 0.202 0.000 0.610
```

## Properties
Energy relative to the elements, uncorrected = -1.0010 eV/atom
Polymorph energy (0 for the lowest one) = 0.0000 eV per atom
V = 25.74 Å³/atom